Record 1
Entry from Alexandria: a crystal of ScAlPO2 relaxed with PBEsol (SCAN).

POSCAR file:
```
ScAlPO2
1.0
3.6395 0.0000 0.0000
0.0000 3.6395 0.0000
0.0000 0.0000 4.9671
O Al P Sc
2 1 1 1
Direct
0.0000 0.5000 0.0000
0.5000 0.0000 0.0000
0.0000 0.0000 0.0000
0.0000 0.0000 0.5000
0.5000 0.5000 0.5000
```

Calculated values
**E_form (uncorrected)**: -8.804 eV per formula unit
**E_tot**: -10.731 eV/atom

---

Record 2
Entry from Alexandria: a crystal of AlFe2Si relaxed with PBEsol (SCAN).

POSCAR file:
```
AlFe2Si
1.0
2.6737 0.0000 0.0000
1.3368 2.3155 0.0000
1.3368 0.7718 7.7628
Fe Al Si
2 1 1
Direct
0.7503 0.7503 0.7492
0.0035 0.0035 0.9895
0.2543 0.2543 0.2371
0.4919 0.4919 0.5242
```

Calculated values
**E_form (uncorrected)**: 0.017 eV per formula unit
**E_tot**: -13.503 eV/atom